A relaxed AcHoTh2 crystal. Source: the Alexandria database, functional PBE-GGA.

## Properties
The crystal system is trigonal. The calculation puts the energy above the most stable polymorph in this dataset at 132 meV per atom. The value obtained for the total magnetization is 0.000 Bohr magnetons per cell. The value obtained for the theoretical density is 10.055 Mg/m³. The value obtained for the total energy is -0.4142 Ry per atom. As for the density of states at the Fermi level: 6.025 states/eV/f.u. Its formation energy is 0.246 eV per atom.

Geometry as POSCAR:
```
AcHoTh2
1.0
3.5779 0.0000 0.0000
1.7890 3.0986 0.0000
1.7890 1.0329 12.7515
Th Ho Ac
2 1 1
Cartesian
5.3669 3.0986 3.4855
1.7890 1.0329 9.2660
3.5779 2.0657 6.3757
0.0000 0.0000 0.0000
```